Entry 1:
Below is SrFe2Pb after structural relaxation, with properties calculated at the PBE level.

Theoretical density, g/cm3: 7.57
Total energy, eV/cell: -19.1
E_form, eV/atom: 0.801

a b c (Å): 5.829 5.829 3.170
angles (deg): 76.67 76.67 114.02
Element x y z (fractional)
Fe: 0.000 0.000 0.000
Fe: 0.500 0.500 0.000
Sr: 0.000 0.500 0.500
Pb: 0.500 0.000 0.500

Entry 2:
Below is SrRhIO2 after structural relaxation, with properties calculated at the PBE level.

Theoretical density, g/cm3: 5.98
ΔE_f (raw), meV per atom: -703
Total energy, eV/cell: -24.0
Excess energy over the best structure of this formula in the dataset, meV per atom: 0

a b c (Å): 4.329 4.329 5.176
angles (deg): 90.00 90.00 90.00
Element x y z (fractional)
Rh: 0.000 0.000 0.000
O: 0.000 0.500 0.000
O: 0.500 0.000 0.000
I: 0.000 0.000 0.500
Sr: 0.500 0.500 0.500